Record 1
# CaYSiO5, relaxed, DFT PBE
data_CaYSiO5
_chemical_formula_sum 'Ca4 Y4 Si4 O20'
_space_group_name_H-M_alt 'C 1 2/c 1'
_space_group_IT_number 15
_space_group_name_Hall '-C 2yc'
_cell_length_a 6.6345
_cell_length_b 9.2771
_cell_length_c 7.9600
_cell_angle_alpha 90.00
_cell_angle_beta 109.00
_cell_angle_gamma 90.00
loop_
_atom_site_label
_atom_site_type_symbol
_atom_site_fract_x
_atom_site_fract_y
_atom_site_fract_z
Ca1 Ca 0.0000 0.1437 0.2500
Y1 Y 0.0000 0.5000 0.0000
Si1 Si 0.0000 0.1861 0.7500
O1 O 0.0000 0.3872 0.2500
O2 O 0.1337 0.2934 0.6581
O3 O 0.1571 0.0751 0.8993
# formation energy without anion corrections: -2.84 eV/atom
# crystal system: monoclinic
# Fermi-level density of states: 1.8 states/eV/f.u.
# total magnetization: 1.0 μB/f.u.

---

Record 2
# Ca2YSiO, relaxed, DFT PBE
data_Ca2YSiO
_chemical_formula_sum 'Ca2 Y1 Si1 O1'
_space_group_name_H-M_alt 'P 4/m m m'
_space_group_IT_number 123
_space_group_name_Hall '-P 4 2'
_cell_length_a 4.6585
_cell_length_b 4.6585
_cell_length_c 4.7419
_cell_angle_alpha 90.00
_cell_angle_beta 90.00
_cell_angle_gamma 90.00
loop_
_atom_site_label
_atom_site_type_symbol
_atom_site_fract_x
_atom_site_fract_y
_atom_site_fract_z
Ca1 Ca 0.0000 0.5000 0.0000
Y1 Y 0.0000 0.0000 0.5000
Si1 Si 0.5000 0.5000 0.5000
O1 O 0.0000 0.0000 0.0000
# formation energy without anion corrections: -1.38 eV/atom
# crystal system: tetragonal
# Fermi-level density of states: 2.8 states/eV/f.u.
# total magnetization: 0.0 μB/f.u.

---

Record 3
# CaZn2Si2O8, relaxed, DFT PBE
data_CaZn2Si2O8
_chemical_formula_sum 'Ca4 Zn8 Si8 O32'
_space_group_name_H-M_alt 'A m a 2'
_space_group_IT_number 40
_space_group_name_Hall 'A 2 -2a'
_cell_length_a 12.9443
_cell_length_b 6.4765
_cell_length_c 8.0449
_cell_angle_alpha 90.00
_cell_angle_beta 90.00
_cell_angle_gamma 90.00
loop_
_atom_site_label
_atom_site_type_symbol
_atom_site_fract_x
_atom_site_fract_y
_atom_site_fract_z
Ca1 Ca 0.2500 0.2490 0.0000
Zn1 Zn 0.0000 0.0000 0.1479
Zn2 Zn 0.0000 0.0000 0.6498
Si1 Si 0.1363 0.2500 0.4090
O1 O 0.0437 0.2493 0.2679
O2 O 0.1261 0.0322 0.5121
O3 O 0.1261 0.4685 0.5106
O4 O 0.2500 0.2466 0.6742
O5 O 0.2500 0.2489 0.3071
# formation energy without anion corrections: -2.06 eV/atom
# crystal system: orthorhombic
# total magnetization: 2.0 μB/f.u.

---

Record 4
# CaZnSi3O8, relaxed, DFT PBE
data_CaZnSi3O8
_chemical_formula_sum 'Ca2 Zn2 Si6 O16'
_space_group_name_H-M_alt 'P -1'
_space_group_IT_number 2
_space_group_name_Hall '-P 1'
_cell_length_a 7.3064
_cell_length_b 7.3633
_cell_length_c 8.0918
_cell_angle_alpha 115.74
_cell_angle_beta 106.69
_cell_angle_gamma 100.46
loop_
_atom_site_label
_atom_site_type_symbol
_atom_site_fract_x
_atom_site_fract_y
_atom_site_fract_z
Ca1 Ca 0.1460 0.2775 0.2309
Zn1 Zn 0.2081 0.8255 0.1906
Si1 Si 0.2491 0.1677 0.8288
Si2 Si 0.3079 0.5803 0.8059
Si3 Si 0.3684 0.7765 0.5596
O1 O 0.0509 0.0985 0.8715
O2 O 0.1743 0.7050 0.9059
O3 O 0.2324 0.3268 0.7390
O4 O 0.2652 0.6584 0.3155
O5 O 0.2745 0.9591 0.6651
O6 O 0.2803 0.5706 0.5907
O7 O 0.3849 0.1319 0.3345
O8 O 0.4457 0.2998 0.0494
# formation energy without anion corrections: -2.68 eV/atom
# crystal system: triclinic
# distance to the lowest polymorph of the same formula: 0 meV per atom
# Fermi-level density of states: 0.0 states/eV/f.u.
# total magnetization: 0.0 μB/f.u.

---

Record 5
# CaZnSi3O8, relaxed, DFT PBE
data_CaZnSi3O8
_chemical_formula_sum 'Ca2 Zn2 Si6 O16'
_space_group_name_H-M_alt 'P -1'
_space_group_IT_number 2
_space_group_name_Hall '-P 1'
_cell_length_a 6.9235
_cell_length_b 7.5847
_cell_length_c 8.3552
_cell_angle_alpha 91.24
_cell_angle_beta 98.81
_cell_angle_gamma 112.09
loop_
_atom_site_label
_atom_site_type_symbol
_atom_site_fract_x
_atom_site_fract_y
_atom_site_fract_z
Ca1 Ca 0.0294 0.2563 0.1041
Zn1 Zn 0.0581 0.4646 0.6626
Si1 Si 0.3472 0.3592 0.4800
Si2 Si 0.4430 0.8294 0.3153
Si3 Si 0.4436 0.8383 0.6835
O1 O 0.0727 0.6621 0.1590
O2 O 0.1037 0.0471 0.9680
O3 O 0.1238 0.3895 0.4562
O4 O 0.2650 0.7122 0.7824
O5 O 0.2860 0.6469 0.1759
O6 O 0.3341 0.8027 0.4830
O7 O 0.3491 0.2303 0.6389
O8 O 0.3540 0.2359 0.3132
# formation energy without anion corrections: -1.88 eV/atom
# crystal system: triclinic
# distance to the lowest polymorph of the same formula: 796 meV per atom
# total magnetization: 0.0 μB/f.u.

---

Record 6
# CaZnSiO5, relaxed, DFT PBE
data_CaZnSiO5
_chemical_formula_sum 'Ca4 Zn4 Si4 O20'
_space_group_name_H-M_alt 'C 1 c 1'
_space_group_IT_number 9
_space_group_name_Hall 'C -2yc'
_cell_length_a 5.0450
_cell_length_b 16.2868
_cell_length_c 5.4632
_cell_angle_alpha 90.00
_cell_angle_beta 103.98
_cell_angle_gamma 90.00
loop_
_atom_site_label
_atom_site_type_symbol
_atom_site_fract_x
_atom_site_fract_y
_atom_site_fract_z
Ca1 Ca 0.0000 0.0714 0.0000
Zn1 Zn 0.1507 0.2498 0.3722
Si1 Si 0.1538 0.3615 0.8890
O1 O 0.2687 0.4519 0.8227
O2 O 0.2741 0.3407 0.1884
O3 O 0.2815 0.2928 0.7192
O4 O 0.3218 0.1459 0.2992
O5 O 0.3482 0.0204 0.7585
# formation energy without anion corrections: -1.92 eV/atom
# crystal system: monoclinic
# Fermi-level density of states: 0.9 states/eV/f.u.
# total magnetization: 2.0 μB/f.u.

---

Record 7
# CaZrSi2O7, relaxed, DFT PBE
data_CaZrSi2O7
_chemical_formula_sum 'Ca2 Zr2 Si4 O14'
_space_group_name_H-M_alt 'C 1 2 1'
_space_group_IT_number 5
_space_group_name_Hall 'C 2y'
_cell_length_a 6.9115
_cell_length_b 8.7986
_cell_length_c 4.7448
_cell_angle_alpha 90.00
_cell_angle_beta 101.71
_cell_angle_gamma 90.00
loop_
_atom_site_label
_atom_site_type_symbol
_atom_site_fract_x
_atom_site_fract_y
_atom_site_fract_z
Ca1 Ca 0.0000 0.0000 0.0000
Zr1 Zr 0.0000 0.6108 0.0000
Si1 Si 0.2123 0.2882 0.4164
O1 O 0.0000 0.2370 0.5000
O2 O 0.1239 0.7946 0.2829
O3 O 0.1902 0.4492 0.2365
O4 O 0.2379 0.6496 0.7912
# formation energy without anion corrections: -3.06 eV/atom
# crystal system: monoclinic
# Fermi-level density of states: 0.0 states/eV/f.u.
# total magnetization: 0.0 μB/f.u.

---

Record 8
# CaSmO2, relaxed, DFT PBE
data_CaSmO2
_chemical_formula_sum 'Ca3 Sm3 O6'
_space_group_name_H-M_alt 'R -3 m'
_space_group_IT_number 166
_space_group_name_Hall '-R 3 2"'
_cell_length_a 3.4292
_cell_length_b 3.4292
_cell_length_c 17.3345
_cell_angle_alpha 90.00
_cell_angle_beta 90.00
_cell_angle_gamma 120.00
loop_
_atom_site_label
_atom_site_type_symbol
_atom_site_fract_x
_atom_site_fract_y
_atom_site_fract_z
Ca1 Ca 0.0000 0.0000 0.0000
Sm1 Sm 0.0000 0.0000 0.5000
O1 O 0.0000 0.0000 0.2531
# formation energy without anion corrections: -2.83 eV/atom
# crystal system: trigonal
# distance to the lowest polymorph of the same formula: 0 meV per atom
# Fermi-level density of states: 0.6 states/eV/f.u.
# total magnetization: 0.0 μB/f.u.

---

Copy entry 6 word for word.
# CaZnSiO5, relaxed, DFT PBE
data_CaZnSiO5
_chemical_formula_sum 'Ca4 Zn4 Si4 O20'
_space_group_name_H-M_alt 'C 1 c 1'
_space_group_IT_number 9
_space_group_name_Hall 'C -2yc'
_cell_length_a 5.0450
_cell_length_b 16.2868
_cell_length_c 5.4632
_cell_angle_alpha 90.00
_cell_angle_beta 103.98
_cell_angle_gamma 90.00
loop_
_atom_site_label
_atom_site_type_symbol
_atom_site_fract_x
_atom_site_fract_y
_atom_site_fract_z
Ca1 Ca 0.0000 0.0714 0.0000
Zn1 Zn 0.1507 0.2498 0.3722
Si1 Si 0.1538 0.3615 0.8890
O1 O 0.2687 0.4519 0.8227
O2 O 0.2741 0.3407 0.1884
O3 O 0.2815 0.2928 0.7192
O4 O 0.3218 0.1459 0.2992
O5 O 0.3482 0.0204 0.7585
# formation energy without anion corrections: -1.92 eV/atom
# crystal system: monoclinic
# Fermi-level density of states: 0.9 states/eV/f.u.
# total magnetization: 2.0 μB/f.u.

---

formation energy without anion corrections of number 8 (CaSmO2)? -2.83 eV/atom

---

Number 3 is which compound? CaZn2Si2O8